No. 1
Here is a geometry-optimized LiIn2Cu structure from Alexandria via LeMat-Bulk. Energies are from GGA-PBE.

Structure (extended XYZ):
```
4
Lattice="-1.759 1.769 7.044 1.759 -1.769 7.044 1.759 1.769 -7.044" Properties=species:S:1:pos:R:3 pbc="T T T"
Li 0.000 0.000 0.000
In 0.000 0.000 4.509
In 0.000 0.000 9.579
Cu 0.000 0.000 7.044
```

## Properties
space-group type: Immm (71)
formation energy from the elements: 9.0 kJ/mol of atoms

***

No. 2
Here is a geometry-optimized LiIn2Cu9 structure from Alexandria via LeMat-Bulk. Energies are from GGA-PBE.

Structure (extended XYZ):
```
12
Lattice="2.507 1.447 8.095 -2.507 1.447 8.095 0.000 -2.895 8.095" Properties=species:S:1:pos:R:3 pbc="T T T"
Li 0.000 0.000 0.000
In 0.000 0.000 3.342
In 0.000 0.000 20.944
Cu -1.266 -0.731 10.120
Cu 0.000 0.000 8.098
Cu 0.000 -1.461 14.166
Cu -1.266 0.731 14.166
Cu 0.000 0.000 12.143
Cu 1.266 -0.731 10.120
Cu 0.000 1.461 10.120
Cu 0.000 0.000 16.188
Cu 1.266 0.731 14.166
```

## Properties
space-group type: R-3m (166)
formation energy from the elements: 0.5 kJ/mol of atoms

***

No. 3
Here is a geometry-optimized LiIn4Cu structure from Alexandria via LeMat-Bulk. Energies are from GGA-PBE.

Structure (extended XYZ):
```
6
Lattice="0.000 4.254 4.254 4.254 0.000 4.254 4.254 4.254 0.000" Properties=species:S:1:pos:R:3 pbc="T T T"
Li 0.000 0.000 0.000
In 3.191 3.191 3.191
In 5.317 5.317 3.191
In 5.317 3.191 5.317
In 3.191 5.317 5.317
Cu 6.381 6.381 6.381
```

## Properties
space-group type: F-43m (216)
formation energy from the elements: 27.0 kJ/mol of atoms